Entry 1:
Below is Nd2Al2Cu after structural relaxation, with properties calculated at the GGA-PBE level.

## Properties
E_form   -0.351 eV per atom
Calculated volume   23.4 Å³/atom

Unit cell a=10.600 b=4.611 c=10.777 alpha=90.00 beta=117.47 gamma=90.00
Space group C2/m (No. 12)
Asymmetric unit:
Nd 0.086 0.000 0.395 (multiplicity 4)
Nd 0.177 0.500 0.174 (multiplicity 4)
Al 0.093 0.000 0.944 (multiplicity 4)
Al 0.123 0.500 0.621 (multiplicity 4)
Cu 0.131 0.500 0.858 (multiplicity 4)

=====

Entry 2:
Below is NdAl4Cu8 after structural relaxation, with properties calculated at the GGA-PBE level.

## Properties
E_form   -0.228 eV per atom
Calculated volume   14.6 Å³/atom

Unit cell a=8.656 b=8.656 c=5.068 alpha=90.00 beta=90.00 gamma=90.00
Space group I4/mmm (No. 139)
Asymmetric unit:
Nd 0.000 0.000 0.000 (multiplicity 2)
Al 0.250 0.250 0.250 (multiplicity 8)
Cu 0.000 0.223 0.500 (multiplicity 8)
Cu 0.000 0.353 0.000 (multiplicity 8)

=====

- Which of these has the lowest calculated volume?
  NdAl4Cu8